Record 1
Compound: PmCo3PC
Source: the Alexandria database
Functional: PBE
Structure: optimized geometry

For the raw total energy, the calculation gives -86.200 eV/cell. Its calculated volume is 159.70 Å³ per cell. The density of states at the Fermi level comes out at 9.89 states/eV per cell. The energy of formation is -0.400 eV per atom.

Lattice parameters (Å, degrees): 5.554 5.289 6.046 115.94 90.00 90.00
Positions (direct):
Pm1 0.750 0.256 0.511
Pm2 0.250 0.744 0.489
Co1 0.250 0.183 0.366
Co2 0.000 0.239 0.000
Co3 0.500 0.761 0.000
Co4 0.500 0.239 0.000
Co5 0.000 0.761 0.000
Co6 0.750 0.817 0.634
P1 0.250 0.383 0.766
P2 0.750 0.617 0.234
C1 0.250 0.017 0.033
C2 0.750 0.983 0.967



Record 2
Compound: Pm8Ge3
Source: the Alexandria database
Functional: PBE
Structure: optimized geometry

For the raw total energy, the calculation gives -55.328 eV/cell. Its calculated volume is 352.07 Å³ per cell. The density of states at the Fermi level comes out at 11.21 states/eV per cell. The energy of formation is -0.316 eV per atom.

Lattice parameters (Å, degrees): 7.061 7.061 7.061 89.49 89.49 89.49
Positions (direct):
Pm1 0.858 0.325 0.155
Pm2 0.325 0.155 0.858
Pm3 0.155 0.858 0.325
Pm4 0.347 0.347 0.347
Pm5 0.653 0.653 0.653
Pm6 0.845 0.142 0.675
Pm7 0.675 0.845 0.142
Pm8 0.142 0.675 0.845
Ge1 0.500 0.000 0.500
Ge2 0.000 0.500 0.500
Ge3 0.500 0.500 0.000



Record 3
Compound: CePu2Pa4
Source: the Alexandria database
Functional: PBE
Structure: optimized geometry

For the raw total energy, the calculation gives -71.610 eV/cell. Its calculated volume is 175.04 Å³ per cell. The density of states at the Fermi level comes out at 18.86 states/eV per cell. The energy of formation is 0.139 eV per atom.

Lattice parameters (Å, degrees): 5.133 5.133 8.223 71.81 71.81 60.00
Positions (direct):
Ce1 0.000 0.000 0.000
Pu1 0.744 0.744 0.768
Pu2 0.256 0.256 0.232
Pa1 0.859 0.859 0.422
Pa2 0.141 0.141 0.578
Pa3 0.587 0.587 0.239
Pa4 0.413 0.413 0.761



Copy entry 3 word for word.
Compound: CePu2Pa4
Source: the Alexandria database
Functional: PBE
Structure: optimized geometry

For the raw total energy, the calculation gives -71.610 eV/cell. Its calculated volume is 175.04 Å³ per cell. The density of states at the Fermi level comes out at 18.86 states/eV per cell. The energy of formation is 0.139 eV per atom.

Lattice parameters (Å, degrees): 5.133 5.133 8.223 71.81 71.81 60.00
Positions (direct):
Ce1 0.000 0.000 0.000
Pu1 0.744 0.744 0.768
Pu2 0.256 0.256 0.232
Pa1 0.859 0.859 0.422
Pa2 0.141 0.141 0.578
Pa3 0.587 0.587 0.239
Pa4 0.413 0.413 0.761